# LiTlIr3 (PBE-GGA, optimized geometry)
data_LiTlIr3
_cell_length_a 4.260
_cell_length_b 4.260
_cell_length_c 4.260
_cell_angle_alpha 90.00
_cell_angle_beta 90.00
_cell_angle_gamma 90.00
_symmetry_space_group_name_H-M 'P m -3 m'
_symmetry_Int_Tables_number 221
_symmetry_space_group_name_Hall '-P 4 2 3'
loop_
_atom_site_label
_atom_site_type_symbol
_atom_site_fract_x
_atom_site_fract_y
_atom_site_fract_z
Li1 Li 0.000 0.000 0.000
Tl1 Tl 0.500 0.500 0.500
Ir1 Ir 0.000 0.000 0.500
# - raw total energy (eV per cell) = -26.2
# - crystal system = cubic

---

# ReAs2W (PBE-GGA, optimized geometry)
data_ReAs2W
_cell_length_a 4.365
_cell_length_b 2.993
_cell_length_c 5.191
_cell_angle_alpha 90.00
_cell_angle_beta 113.01
_cell_angle_gamma 90.00
_symmetry_space_group_name_H-M 'P 1 2/m 1'
_symmetry_Int_Tables_number 10
_symmetry_space_group_name_Hall '-P 2y'
loop_
_atom_site_label
_atom_site_type_symbol
_atom_site_fract_x
_atom_site_fract_y
_atom_site_fract_z
Re1 Re 0.000 0.000 0.000
As1 As 0.500 0.000 0.500
As2 As 0.500 0.500 0.000
W1 W 0.000 0.500 0.500
# - raw total energy (eV per cell) = -33.1
# - crystal system = monoclinic

---

# Al2ClO (PBE-GGA, optimized geometry)
data_Al2ClO
_cell_length_a 6.274
_cell_length_b 6.274
_cell_length_c 6.274
_cell_angle_alpha 90.00
_cell_angle_beta 90.00
_cell_angle_gamma 90.00
_symmetry_space_group_name_H-M 'F m -3 m'
_symmetry_Int_Tables_number 225
_symmetry_space_group_name_Hall '-F 4 2 3'
loop_
_atom_site_label
_atom_site_type_symbol
_atom_site_fract_x
_atom_site_fract_y
_atom_site_fract_z
Al1 Al 0.250 0.250 0.250
Cl1 Cl 0.000 0.000 0.000
O1 O 0.000 0.000 0.500
# - formation energy from raw total energies (eV per atom) = -0.02
# - crystal system = cubic

---

# TcMoPt2 (PBE-GGA, optimized geometry)
data_TcMoPt2
_cell_length_a 2.722
_cell_length_b 2.722
_cell_length_c 8.207
_cell_angle_alpha 90.00
_cell_angle_beta 90.00
_cell_angle_gamma 90.00
_symmetry_space_group_name_H-M 'P 4/m m m'
_symmetry_Int_Tables_number 123
_symmetry_space_group_name_Hall '-P 4 2'
loop_
_atom_site_label
_atom_site_type_symbol
_atom_site_fract_x
_atom_site_fract_y
_atom_site_fract_z
Tc1 Tc 0.000 0.000 0.000
Mo1 Mo 0.000 0.000 0.500
Pt1 Pt 0.500 0.500 0.246
# - raw total energy (eV per cell) = -34.0
# - crystal system = tetragonal

---

Number 1: DOS(E_F) 5.6 states/eV/cell. Number 2: DOS(E_F) 3.1 states/eV/cell. Number 3: DOS(E_F) 10.8 states/eV/cell. Number 4: DOS(E_F) 4.3 states/eV/cell.